[1]
## CdGeSe3 (PBE-GGA)

Data for an optimized crystal structure of CdGeSe3.

Summary:
DFT total energy = -2.65 eV per atom
energy relative to the elements, uncorrected = 2.75 eV/f.u.
polymorph energy (0 for the lowest one) = 888 meV/atom

Geometry as CIF:
```
data_CdGeSe3
_cell_length_a 5.185
_cell_length_b 5.185
_cell_length_c 5.185
_cell_angle_alpha 90.00
_cell_angle_beta 90.00
_cell_angle_gamma 90.00
_symmetry_space_group_name_H-M 'P m -3 m'
_symmetry_Int_Tables_number 221
_symmetry_space_group_name_Hall '-P 4 2 3'
loop_
_atom_site_label
_atom_site_type_symbol
_atom_site_fract_x
_atom_site_fract_y
_atom_site_fract_z
Cd1 Cd 0.000 0.000 0.000
Ge1 Ge 0.500 0.500 0.500
Se1 Se 0.000 0.000 0.500
```

[2]
## Pr2Be3SnPt4 (PBE-GGA)

Data for an optimized crystal structure of Pr2Be3SnPt4.

Summary:
calculated formation energy = -8.0 eV per formula unit
DFT total energy = -5.69 eV per atom

Geometry as CIF:
```
data_Pr2Be3SnPt4
_cell_length_a 4.192
_cell_length_b 4.192
_cell_length_c 10.178
_cell_angle_alpha 90.00
_cell_angle_beta 90.00
_cell_angle_gamma 90.00
_symmetry_space_group_name_H-M 'P -4 m 2'
_symmetry_Int_Tables_number 115
loop_
_symmetry_equiv_pos_as_xyz
'x,y,z'
'y,-x,-z'
'-x,-y,z'
'-y,x,-z'
'-x,y,z'
'-y,-x,-z'
'x,-y,z'
'y,x,-z'
loop_
_atom_site_label
_atom_site_type_symbol
_atom_site_fract_x
_atom_site_fract_y
_atom_site_fract_z
Pr1 Pr 0.000 0.500 0.237
Be1 Be 0.000 0.500 0.889
Be2 Be 0.500 0.500 0.500
Sn1 Sn 0.000 0.000 0.500
Pt1 Pt 0.000 0.000 0.000
Pt2 Pt 0.000 0.500 0.658
Pt3 Pt 0.500 0.500 0.000
```

[3]
## LiIn2Os (PBE-GGA)

Data for an optimized crystal structure of LiIn2Os.

Summary:
calculated formation energy = 0.4 eV per formula unit
DFT total energy = -4.56 eV per atom

Geometry as CIF:
```
data_LiIn2Os
_cell_length_a 3.348
_cell_length_b 3.348
_cell_length_c 6.241
_cell_angle_alpha 90.00
_cell_angle_beta 90.00
_cell_angle_gamma 90.00
_symmetry_space_group_name_H-M 'P 4/m m m'
_symmetry_Int_Tables_number 123
_symmetry_space_group_name_Hall '-P 4 2'
loop_
_atom_site_label
_atom_site_type_symbol
_atom_site_fract_x
_atom_site_fract_y
_atom_site_fract_z
Li1 Li 0.000 0.000 0.000
In1 In 0.500 0.500 0.253
Os1 Os 0.000 0.000 0.500
```

[4]
## HfAgHgAu (PBE-GGA)

Data for an optimized crystal structure of HfAgHgAu.

Summary:
calculated formation energy = -0.6 eV per formula unit
DFT total energy = -4.26 eV per atom

Geometry as CIF:
```
data_HfAgHgAu
_cell_length_a 6.752
_cell_length_b 6.752
_cell_length_c 6.752
_cell_angle_alpha 90.00
_cell_angle_beta 90.00
_cell_angle_gamma 90.00
_symmetry_space_group_name_H-M 'F -4 3 m'
_symmetry_Int_Tables_number 216
_symmetry_space_group_name_Hall 'F -4 2 3'
loop_
_atom_site_label
_atom_site_type_symbol
_atom_site_fract_x
_atom_site_fract_y
_atom_site_fract_z
Hf1 Hf 0.000 0.000 0.000
Ag1 Ag 0.000 0.000 0.500
Hg1 Hg 0.250 0.250 0.250
Au1 Au 0.250 0.250 0.750
```

Please write out number 3 again, unchanged.
## LiIn2Os (PBE-GGA)

Data for an optimized crystal structure of LiIn2Os.

Summary:
calculated formation energy = 0.4 eV per formula unit
DFT total energy = -4.56 eV per atom

Geometry as CIF:
```
data_LiIn2Os
_cell_length_a 3.348
_cell_length_b 3.348
_cell_length_c 6.241
_cell_angle_alpha 90.00
_cell_angle_beta 90.00
_cell_angle_gamma 90.00
_symmetry_space_group_name_H-M 'P 4/m m m'
_symmetry_Int_Tables_number 123
_symmetry_space_group_name_Hall '-P 4 2'
loop_
_atom_site_label
_atom_site_type_symbol
_atom_site_fract_x
_atom_site_fract_y
_atom_site_fract_z
Li1 Li 0.000 0.000 0.000
In1 In 0.500 0.500 0.253
Os1 Os 0.000 0.000 0.500
```

Q: The highest DFT total energy belongs to which entry?
A: CdGeSe3